# 1
NaPrH: optimized geometry, PBE-GGA.

Cell and atoms, written as POSCAR:
```
NaPrH
1.0
-1.709 1.709 6.557
1.709 -1.709 6.557
1.709 1.709 -6.557
Na Pr H
1 1 1
Direct
0.000 0.000 0.000
0.726 0.726 0.000
0.223 0.223 0.000
```

Output
Space group: I4mm
E_tot (eV per atom): -3.14
DOS(E_F) (states/eV per atom): 0.900
Mass density (g cm⁻³): 3.6
Relative energy among the computed polymorphs (kJ per mole of atoms): 8.1


# 2
Na3Pr12H5: optimized geometry, PBE-GGA.

Cell and atoms, written as POSCAR:
```
Na3Pr12H5
1.0
-8.239 8.239 8.239
8.239 -8.239 8.239
8.239 8.239 -8.239
Na Pr H
12 48 20
Direct
0.125 0.250 0.375
0.125 0.375 0.750
0.250 0.375 0.125
0.250 0.875 0.625
0.375 0.125 0.250
0.375 0.750 0.125
0.625 0.250 0.875
0.625 0.875 0.750
0.750 0.125 0.375
0.750 0.625 0.875
0.875 0.625 0.250
0.875 0.750 0.625
0.006 0.200 0.102
0.006 0.306 0.904
0.096 0.602 0.402
0.096 0.994 0.694
0.098 0.700 0.694
0.098 0.898 0.404
0.102 0.006 0.200
0.102 0.596 0.902
0.194 0.200 0.598
0.194 0.494 0.596
0.200 0.102 0.006
0.200 0.598 0.194
0.300 0.306 0.902
0.300 0.494 0.398
0.306 0.902 0.300
0.306 0.904 0.006
0.398 0.300 0.494
0.398 0.598 0.904
0.402 0.096 0.602
0.402 0.806 0.800
0.404 0.098 0.898
0.404 0.806 0.506
0.494 0.398 0.300
0.494 0.596 0.194
0.506 0.404 0.806
0.506 0.602 0.700
0.596 0.194 0.494
0.596 0.902 0.102
0.598 0.194 0.200
0.598 0.904 0.398
0.602 0.402 0.096
0.602 0.700 0.506
0.694 0.096 0.994
0.694 0.098 0.700
0.700 0.506 0.602
0.700 0.694 0.098
0.800 0.402 0.806
0.800 0.898 0.994
0.806 0.506 0.404
0.806 0.800 0.402
0.898 0.404 0.098
0.898 0.994 0.800
0.902 0.102 0.596
0.902 0.300 0.306
0.904 0.006 0.306
0.904 0.398 0.598
0.994 0.694 0.096
0.994 0.800 0.898
0.000 0.000 0.000
0.000 0.000 0.500
0.000 0.500 0.000
0.000 0.500 0.500
0.125 0.750 0.875
0.125 0.875 0.250
0.250 0.125 0.875
0.250 0.625 0.375
0.375 0.250 0.625
0.375 0.625 0.750
0.500 0.000 0.000
0.500 0.000 0.500
0.500 0.500 0.000
0.500 0.500 0.500
0.625 0.375 0.250
0.625 0.750 0.375
0.750 0.375 0.625
0.750 0.875 0.125
0.875 0.125 0.750
0.875 0.250 0.125
```

Output
Space group: Ia-3d
E_tot (eV per atom): -3.90
DOS(E_F) (states/eV per atom): 0.981
Mass density (g cm⁻³): 5.2


# 3
NaPr3H3: optimized geometry, PBE-GGA.

Cell and atoms, written as POSCAR:
```
NaPr3H3
1.0
6.778 0.000 0.000
0.000 6.778 0.000
0.000 0.000 6.778
Na Pr H
2 6 6
Direct
0.000 0.000 0.000
0.500 0.500 0.500
0.000 0.250 0.500
0.000 0.750 0.500
0.250 0.500 0.000
0.500 0.000 0.250
0.500 0.000 0.750
0.750 0.500 0.000
0.000 0.500 0.250
0.000 0.500 0.750
0.250 0.000 0.500
0.500 0.250 0.000
0.500 0.750 0.000
0.750 0.000 0.500
```

Output
Space group: Pm-3n
E_tot (eV per atom): -3.84
DOS(E_F) (states/eV per atom): 0.864
Mass density (g cm⁻³): 4.8


# 4
NaPrH: optimized geometry, PBE-GGA.

Cell and atoms, written as POSCAR:
```
NaPrH
1.0
3.566 0.000 0.000
-1.783 3.088 0.000
0.000 0.000 6.520
Na Pr H
1 1 1
Direct
0.000 0.000 0.000
0.333 0.667 0.486
0.667 0.333 0.296
```

Output
Space group: P3m1
E_tot (eV per atom): -3.22
DOS(E_F) (states/eV per atom): 0.782
Mass density (g cm⁻³): 3.8
Relative energy among the computed polymorphs (kJ per mole of atoms): 0.0


# 5
NaPr2H: optimized geometry, PBE-GGA.

Cell and atoms, written as POSCAR:
```
NaPr2H
1.0
1.817 1.049 10.054
-1.817 1.049 10.054
0.000 -2.098 10.054
Na Pr H
1 2 1
Direct
0.000 0.000 0.000
0.118 0.118 0.118
0.882 0.882 0.882
0.500 0.500 0.500
```

Output
Space group: R-3m
E_tot (eV per atom): -3.59
DOS(E_F) (states/eV per atom): 0.821
Mass density (g cm⁻³): 4.4


# 6
Na5Pr3H12: optimized geometry, PBE-GGA.

Cell and atoms, written as POSCAR:
```
Na5Pr3H12
1.0
-6.634 6.634 6.634
6.634 -6.634 6.634
6.634 6.634 -6.634
Na Pr H
20 12 48
Direct
0.000 0.000 0.000
0.000 0.000 0.500
0.000 0.500 0.000
0.000 0.500 0.500
0.125 0.750 0.875
0.125 0.875 0.250
0.250 0.125 0.875
0.250 0.625 0.375
0.375 0.250 0.625
0.375 0.625 0.750
0.500 0.000 0.000
0.500 0.000 0.500
0.500 0.500 0.000
0.500 0.500 0.500
0.625 0.375 0.250
0.625 0.750 0.375
0.750 0.375 0.625
0.750 0.875 0.125
0.875 0.125 0.750
0.875 0.250 0.125
0.125 0.250 0.375
0.125 0.375 0.750
0.250 0.375 0.125
0.250 0.875 0.625
0.375 0.125 0.250
0.375 0.750 0.125
0.625 0.250 0.875
0.625 0.875 0.750
0.750 0.125 0.375
0.750 0.625 0.875
0.875 0.625 0.250
0.875 0.750 0.625
0.057 0.229 0.142
0.057 0.328 0.915
0.085 0.642 0.413
0.085 0.943 0.672
0.087 0.729 0.672
0.087 0.858 0.415
0.142 0.057 0.229
0.142 0.585 0.913
0.172 0.229 0.587
0.172 0.443 0.585
0.229 0.142 0.057
0.229 0.587 0.172
0.271 0.328 0.913
0.271 0.443 0.358
0.328 0.913 0.271
0.328 0.915 0.057
0.358 0.271 0.443
0.358 0.587 0.915
0.413 0.085 0.642
0.413 0.828 0.771
0.415 0.087 0.858
0.415 0.828 0.557
0.443 0.358 0.271
0.443 0.585 0.172
0.557 0.415 0.828
0.557 0.642 0.729
0.585 0.172 0.443
0.585 0.913 0.142
0.587 0.172 0.229
0.587 0.915 0.358
0.642 0.413 0.085
0.642 0.729 0.557
0.672 0.085 0.943
0.672 0.087 0.729
0.729 0.557 0.642
0.729 0.672 0.087
0.771 0.413 0.828
0.771 0.858 0.943
0.828 0.557 0.415
0.828 0.771 0.413
0.858 0.415 0.087
0.858 0.943 0.771
0.913 0.142 0.585
0.913 0.271 0.328
0.915 0.057 0.328
0.915 0.358 0.587
0.943 0.672 0.085
0.943 0.771 0.858
```

Output
Space group: Ia-3d
E_tot (eV per atom): -3.35
DOS(E_F) (states/eV per atom): 0.305
Mass density (g cm⁻³): 3.1


Among the records above, which one has the lowest mass density? Na5Pr3H12